{"formula": "CdPt3O8", "functional": "PBE", "state": "optimized geometry", "magmom_total_mub_per_fu": 2.06, "rho_g_cm3": 8.0, "e_form_raw_mev_per_atom": -424, "cell": [[-3.790, 4.043, -3.301], [1.420, -5.803, -2.435], [-3.493, 0.712, 4.882]], "species": ["O", "O", "O", "O", "O", "O", "O", "O", "Pt", "Pt", "Pt", "Cd"], "fractional_positions": [[0.251, 0.503, 0.202], [0.748, 0.048, 0.798], [0.701, 0.952, 0.202], [0.735, 0.470, 0.204], [0.749, 0.497, 0.798], [0.299, 0.048, 0.798], [0.252, 0.952, 0.202], [0.265, 0.530, 0.796], [0.000, 0.500, 0.000], [0.500, 0.500, 0.000], [0.500, 0.000, 0.000], [0.000, 0.000, 0.000]]}

***

{"formula": "Cd2PtO4", "functional": "PBE", "state": "optimized geometry", "magmom_total_mub_per_fu": 0.00, "rho_g_cm3": 8.5, "e_form_raw_mev_per_atom": -439, "cell": [[3.992, 0.000, 0.000], [0.000, 3.992, 0.000], [1.996, 1.996, 5.903]], "species": ["Cd", "Cd", "Pt", "O", "O", "O", "O"], "fractional_positions": [[0.354, 0.354, 0.292], [0.646, 0.646, 0.708], [0.000, 0.000, 0.000], [0.171, 0.171, 0.658], [0.829, 0.829, 0.342], [0.000, 0.500, 0.000], [0.500, 0.000, 0.000]]}

***

{"formula": "CdPtO3", "functional": "PBE", "state": "optimized geometry", "magmom_total_mub_per_fu": 2.95, "rho_g_cm3": 8.6, "e_form_raw_mev_per_atom": 849, "cell": [[4.092, 0.000, 0.000], [0.000, 4.092, 0.000], [0.000, 0.000, 4.092]], "species": ["Pt", "O", "O", "O", "Cd"], "fractional_positions": [[0.500, 0.500, 0.500], [0.000, 0.500, 0.000], [0.000, 0.000, 0.500], [0.500, 0.000, 0.000], [0.000, 0.000, 0.000]]}

***

{"formula": "CdPt3O4", "functional": "PBE", "state": "optimized geometry", "magmom_total_mub_per_fu": 0.00, "rho_g_cm3": 12.5, "e_form_raw_mev_per_atom": -464, "cell": [[-2.255, -5.345, 0.939], [3.118, -0.444, 4.962], [-4.442, 2.402, 3.006]], "species": ["Pt", "Pt", "Pt", "Pt", "Pt", "Pt", "O", "O", "O", "O", "O", "O", "O", "O", "Cd", "Cd"], "fractional_positions": [[0.500, 0.750, 0.000], [0.750, 0.000, 0.500], [0.000, 0.500, 0.750], [0.500, 0.250, 0.000], [0.250, 0.000, 0.500], [0.000, 0.500, 0.250], [0.250, 0.250, 0.750], [0.250, 0.750, 0.750], [0.750, 0.750, 0.750], [0.750, 0.250, 0.750], [0.250, 0.250, 0.250], [0.750, 0.750, 0.250], [0.250, 0.750, 0.250], [0.750, 0.250, 0.250], [0.000, 0.000, 0.000], [0.500, 0.500, 0.500]]}